Entry 1:
Here is an optimized crystal structure of NbNi2Pb from OQMD. Energies are from PBE-GGA.

Cell lengths 4.4803, 4.4803, 4.4803 Å; angles 60.00, 60.00, 60.00 degrees
Sites, in units of the cell vectors:
Nb 0.0000 0.0000 0.0000
Ni 0.2500 0.2500 0.2500
Ni 0.5000 0.5000 0.5000
Pb 0.7500 0.7500 0.7500

Space group = F-43m (216)
Total energy = -5.93 eV per atom
Spin magnetization = 0.00 μB/f.u.

=====

Entry 2:
Here is an optimized crystal structure of NbNiPb from OQMD. Energies are from PBE-GGA.

Cell lengths 5.9376, 4.4649, 7.8639 Å; angles 90.00, 90.00, 90.00 degrees
Sites, in units of the cell vectors:
Nb 0.0027 0.2500 0.2477
Nb 0.4973 0.7500 0.7477
Nb 0.5027 0.2500 0.2523
Nb 0.9973 0.7500 0.7523
Ni 0.2477 0.2500 0.9141
Ni 0.2523 0.7500 0.4141
Ni 0.7477 0.2500 0.5859
Ni 0.7523 0.7500 0.0859
Pb 0.2453 0.2500 0.5821
Pb 0.2547 0.7500 0.0821
Pb 0.7453 0.2500 0.9179
Pb 0.7547 0.7500 0.4179

Space group = Pnma (62)
Total energy = -6.27 eV per atom
Spin magnetization = 0.04 μB/f.u.

=====

Entry 3:
Here is an optimized crystal structure of Nb2Ni2Pb3 from OQMD. Energies are from PBE-GGA.

Cell lengths 8.6564, 8.6564, 8.6564 Å; angles 30.49, 30.49, 30.49 degrees
Sites, in units of the cell vectors:
Nb 0.0000 0.0000 0.0000
Nb 0.4954 0.4954 0.4954
Ni 0.2464 0.2464 0.2464
Ni 0.7401 0.7401 0.7401
Pb 0.3853 0.3853 0.3853
Pb 0.6172 0.6172 0.6172
Pb 0.8597 0.8597 0.8597

Space group = R3m (160)
Total energy = -5.36 eV per atom
Spin magnetization = 0.73 μB/f.u.

=====

Entry 4:
Here is an optimized crystal structure of NbNiPdPb from OQMD. Energies are from PBE-GGA.

Cell lengths 4.5768, 4.5768, 4.5768 Å; angles 60.00, 60.00, 60.00 degrees
Sites, in units of the cell vectors:
Nb 0.0000 0.0000 0.0000
Ni 0.7500 0.7500 0.7500
Pd 0.2500 0.2500 0.2500
Pb 0.5000 0.5000 0.5000

Space group = F-43m (216)
Total energy = -6.07 eV per atom
Spin magnetization = 0.00 μB/f.u.

=====

Entry 5:
Here is an optimized crystal structure of NbNiPdPb from OQMD. Energies are from PBE-GGA.

Cell lengths 4.5910, 4.5910, 4.5910 Å; angles 60.00, 60.00, 60.00 degrees
Sites, in units of the cell vectors:
Nb 0.0000 0.0000 0.0000
Ni 0.5000 0.5000 0.5000
Pd 0.7500 0.7500 0.7500
Pb 0.2500 0.2500 0.2500

Space group = F-43m (216)
Total energy = -5.99 eV per atom
Spin magnetization = 0.02 μB/f.u.

=====

Entry 6:
Here is an optimized crystal structure of NbNiPtPb from OQMD. Energies are from PBE-GGA.

Cell lengths 4.5943, 4.5943, 4.5943 Å; angles 60.00, 60.00, 60.00 degrees
Sites, in units of the cell vectors:
Nb 0.0000 0.0000 0.0000
Ni 0.5000 0.5000 0.5000
Pt 0.7500 0.7500 0.7500
Pb 0.2500 0.2500 0.2500

Space group = F-43m (216)
Total energy = -6.30 eV per atom
Spin magnetization = 0.00 μB/f.u.

=====

Entry 7:
Here is an optimized crystal structure of NbNiPtPb from OQMD. Energies are from PBE-GGA.

Cell lengths 4.6071, 4.6071, 4.6071 Å; angles 60.00, 60.00, 60.00 degrees
Sites, in units of the cell vectors:
Nb 0.0000 0.0000 0.0000
Ni 0.7500 0.7500 0.7500
Pt 0.2500 0.2500 0.2500
Pb 0.5000 0.5000 0.5000

Space group = F-43m (216)
Total energy = -6.29 eV per atom
Spin magnetization = 0.00 μB/f.u.

=====

Entry 8:
Here is an optimized crystal structure of NbReNiPb from OQMD. Energies are from PBE-GGA.

Cell lengths 4.5804, 4.5804, 4.5804 Å; angles 60.00, 60.00, 60.00 degrees
Sites, in units of the cell vectors:
Nb 0.0000 0.0000 0.0000
Re 0.7500 0.7500 0.7500
Ni 0.5000 0.5000 0.5000
Pb 0.2500 0.2500 0.2500

Space group = F-43m (216)
Total energy = -7.35 eV per atom
Spin magnetization = 0.71 μB/f.u.

=====

Entry 9:
Here is an optimized crystal structure of ScNbNiPb from OQMD. Energies are from PBE-GGA.

Cell lengths 4.7501, 4.7501, 4.7501 Å; angles 60.00, 60.00, 60.00 degrees
Sites, in units of the cell vectors:
Sc 0.0000 0.0000 0.0000
Nb 0.7500 0.7500 0.7500
Ni 0.5000 0.5000 0.5000
Pb 0.2500 0.2500 0.2500

Space group = F-43m (216)
Total energy = -6.11 eV per atom
Spin magnetization = 3.26 μB/f.u.

=====

Entry 10:
Here is an optimized crystal structure of TaNbNiPb from OQMD. Energies are from PBE-GGA.

Cell lengths 4.6705, 4.6705, 4.6705 Å; angles 60.00, 60.00, 60.00 degrees
Sites, in units of the cell vectors:
Ta 0.0000 0.0000 0.0000
Nb 0.2500 0.2500 0.2500
Ni 0.7500 0.7500 0.7500
Pb 0.5000 0.5000 0.5000

Space group = F-43m (216)
Total energy = -7.34 eV per atom
Spin magnetization = 0.00 μB/f.u.

=====

Entry 11:
Here is an optimized crystal structure of NbNiPbW from OQMD. Energies are from PBE-GGA.

Cell lengths 4.6181, 4.6181, 4.6181 Å; angles 60.00, 60.00, 60.00 degrees
Sites, in units of the cell vectors:
Nb 0.0000 0.0000 0.0000
Ni 0.5000 0.5000 0.5000
Pb 0.2500 0.2500 0.2500
W 0.7500 0.7500 0.7500

Space group = F-43m (216)
Total energy = -7.45 eV per atom
Spin magnetization = 0.10 μB/f.u.

=====

Entry 12:
Here is an optimized crystal structure of NbNi4Pd from OQMD. Energies are from PBE-GGA.

Cell lengths 4.7239, 4.7239, 4.7239 Å; angles 60.00, 60.00, 60.00 degrees
Sites, in units of the cell vectors:
Nb 0.0000 0.0000 0.0000
Ni 0.3752 0.3752 0.3752
Ni 0.3752 0.3752 0.8745
Ni 0.3752 0.8745 0.3752
Ni 0.8745 0.3752 0.3752
Pd 0.7500 0.7500 0.7500

Energy of formation from the pure elements = -0.294 eV per atom
Space group = F-43m (216)
Spin magnetization = 0.01 μB/f.u.

=====

Entry 13:
Here is an optimized crystal structure of NbNi2Pd from OQMD. Energies are from PBE-GGA.

Cell lengths 4.2835, 4.2835, 4.2835 Å; angles 60.00, 60.00, 60.00 degrees
Sites, in units of the cell vectors:
Nb 0.0000 0.0000 0.0000
Ni 0.5000 0.5000 0.5000
Ni 0.7500 0.7500 0.7500
Pd 0.2500 0.2500 0.2500

Energy of formation from the pure elements = -0.087 eV per atom
Space group = F-43m (216)
Spin magnetization = 0.14 μB/f.u.

=====

Entry 14:
Here is an optimized crystal structure of NbNiSbPd from OQMD. Energies are from PBE-GGA.

Cell lengths 4.5240, 4.5240, 4.5240 Å; angles 60.00, 60.00, 60.00 degrees
Sites, in units of the cell vectors:
Nb 0.0000 0.0000 0.0000
Ni 0.7500 0.7500 0.7500
Sb 0.5000 0.5000 0.5000
Pd 0.2500 0.2500 0.2500

Space group = F-43m (216)
Total energy = -6.29 eV per atom
Spin magnetization = 0.36 μB/f.u.